Re2HgPt after structural relaxation. Source: Alexandria via LeMat-Bulk, functional PBE.

Structure (extended XYZ):
```
4
Lattice="-1.948 1.948 4.280 1.948 -1.948 4.280 1.948 1.948 -4.280" Properties=species:S:1:pos:R:3 pbc="T T T"
Re 1.948 0.000 2.140
Re 0.000 1.948 2.140
Hg 0.000 0.000 0.000
Pt 0.000 0.000 4.280
```

Values from the calculation:
space-group type = I4/mmm (139)
E_form = 0.597 eV per atom
D(E_F) = 2.34 states/eV per cell

=====

ReHg2Pt after structural relaxation. Source: Alexandria via LeMat-Bulk, functional PBE.

Structure (extended XYZ):
```
4
Lattice="1.466 0.846 9.963 -1.466 0.846 9.963 0.000 -1.692 9.963" Properties=species:S:1:pos:R:3 pbc="T T T"
Re 0.000 0.000 0.000
Hg 0.000 0.000 15.402
Hg 0.000 0.000 22.410
Pt 0.000 0.000 7.917
```

Values from the calculation:
space-group type = R3m (160)
E_form = 0.366 eV per atom
excess energy over the best structure of this formula in the dataset = 0.454 kcal/mol of atoms
D(E_F) = 4.19 states/eV per cell

=====

Re2HgPt after structural relaxation. Source: Alexandria via LeMat-Bulk, functional PBE.

Structure (extended XYZ):
```
4
Lattice="2.859 0.000 0.000 0.000 2.859 0.000 0.000 0.000 8.179" Properties=species:S:1:pos:R:3 pbc="T T T"
Re 0.000 0.000 0.000
Re 1.430 1.430 1.689
Hg 0.000 0.000 3.968
Pt 1.430 1.430 6.214
```

Values from the calculation:
space-group type = P4mm (99)
E_form = 0.210 eV per atom
D(E_F) = 3.64 states/eV per cell

=====

Re2HgPt after structural relaxation. Source: Alexandria via LeMat-Bulk, functional PBE.

Structure (extended XYZ):
```
4
Lattice="1.420 0.820 9.472 -1.420 0.820 9.472 0.000 -1.639 9.472" Properties=species:S:1:pos:R:3 pbc="T T T"
Re 0.000 0.000 0.000
Re 0.000 0.000 7.395
Hg 0.000 0.000 14.280
Pt 0.000 0.000 21.231
```

Values from the calculation:
space-group type = R3m (160)
E_form = 0.169 eV per atom
D(E_F) = 2.24 states/eV per cell

=====

Re2HgPt after structural relaxation. Source: Alexandria via LeMat-Bulk, functional PBE.

Structure (extended XYZ):
```
4
Lattice="-1.384 2.328 5.330 1.384 -2.328 5.330 1.384 2.328 -5.330" Properties=species:S:1:pos:R:3 pbc="T T T"
Re 0.000 0.000 2.329
Re 0.000 0.000 8.332
Hg 0.000 2.328 0.000
Pt 1.384 0.000 0.000
```

Values from the calculation:
space-group type = Immm (71)
E_form = 0.542 eV per atom
D(E_F) = 2.53 states/eV per cell

=====

ReHg2Pt after structural relaxation. Source: Alexandria via LeMat-Bulk, functional PBE.

Structure (extended XYZ):
```
4
Lattice="-1.397 2.468 5.689 1.397 -2.468 5.689 1.397 2.468 -5.689" Properties=species:S:1:pos:R:3 pbc="T T T"
Re 0.000 0.000 0.000
Hg 1.397 0.000 2.646
Hg 0.000 0.000 6.065
Pt 0.000 2.468 3.502
```

Values from the calculation:
space-group type = Imm2 (44)
E_form = 0.542 eV per atom
excess energy over the best structure of this formula in the dataset = 4.524 kcal/mol of atoms
D(E_F) = 2.04 states/eV per cell

=====

Re2HgPt after structural relaxation. Source: Alexandria via LeMat-Bulk, functional PBE.

Structure (extended XYZ):
```
4
Lattice="0.000 3.215 3.215 3.215 0.000 3.215 3.215 3.215 0.000" Properties=species:S:1:pos:R:3 pbc="T T T"
Re 0.000 0.000 0.000
Re 1.607 1.607 1.607
Hg 3.215 3.215 3.215
Pt 4.822 4.822 4.822
```

Values from the calculation:
space-group type = F-43m (216)
E_form = 0.736 eV per atom
D(E_F) = 4.08 states/eV per cell

=====

ReHgPt2 after structural relaxation. Source: Alexandria via LeMat-Bulk, functional PBE.

Structure (extended XYZ):
```
4
Lattice="1.432 0.827 9.412 -1.432 0.827 9.412 0.000 -1.654 9.412" Properties=species:S:1:pos:R:3 pbc="T T T"
Re 0.000 0.000 0.000
Hg 0.000 0.000 14.118
Pt 0.000 0.000 7.245
Pt 0.000 0.000 20.990
```

Values from the calculation:
space-group type = R-3m (166)
E_form = 0.103 eV per atom
D(E_F) = 6.32 states/eV per cell

=====

Question: Number 2 is which compound?
Answer: ReHg2Pt

=====

Question: Among the records above, which one has the lowest E_form?
Answer: ReHgPt2

=====

Question: The lowest E_form belongs to which entry?
Answer: ReHgPt2